DFT (SCAN) results for a PBEsol-optimized structure of LiAl2Pt2.

a b c (Å): 2.7783 7.3810 7.3810
angles (deg): 90.00 90.00 90.00
Closest atoms and distances in Å follow each position.
Positions (direct):
Al 0.5000 0.6497 0.8503  6 Pt 2.53-2.60, 2 Al 2.78
Al 0.5000 0.1497 0.6497  6 Pt 2.53-2.60, 2 Al 2.78
Pt 0.0000 0.6476 0.1476  6 Al 2.53-2.60, 2 Pt 2.78, 2 Li 2.82
Pt 0.0000 0.8524 0.6476  6 Al 2.53-2.60, 2 Pt 2.78, 2 Li 2.82
Al 0.5000 0.3503 0.1497  6 Pt 2.53-2.60, 2 Al 2.78
Li 0.0000 0.5000 0.5000  2 Li 2.78, 4 Pt 2.82
Pt 0.0000 0.3524 0.8524  6 Al 2.53-2.60, 2 Pt 2.78, 2 Li 2.82
Li 0.0000 0.0000 0.0000  2 Li 2.78, 4 Pt 2.82
Al 0.5000 0.8503 0.3503  6 Pt 2.53-2.60, 2 Al 2.78
Pt 0.0000 0.1476 0.3524  6 Al 2.53-2.60, 2 Pt 2.78, 2 Li 2.82

Formation energy   -1.1785 eV per atom
Symmetry   No. 127
Crystal system   tetragonal



DFT (SCAN) results for a PBEsol-optimized structure of LiAlPt2.

a b c (Å): 4.2039 4.2039 4.2039
angles (deg): 60.00 60.00 60.00
Closest atoms and distances in Å follow each position.
Positions (direct):
Pt 0.2500 0.2500 0.2500  4 Li 2.57, 4 Al 2.57
Li 0.5000 0.5000 0.5000  8 Pt 2.57
Pt 0.7500 0.7500 0.7500  4 Li 2.57, 4 Al 2.57
Al 0.0000 0.0000 0.0000  8 Pt 2.57

Formation energy   -1.1310 eV per atom
Symmetry   No. 225
Crystal system   cubic



DFT (SCAN) results for a PBEsol-optimized structure of LiAlPt2.

a b c (Å): 2.8773 4.2092 5.2693
angles (deg): 113.54 105.84 90.00
Closest atoms and distances in Å follow each position.
Positions (direct):
Pt 0.9986 0.9986 0.9973  4 Al 2.55, 2 Li 2.70, 2 Pt 2.79
Al 0.5162 0.5162 0.0324  6 Pt 2.51-2.55
Li 0.7463 0.2463 0.4926  6 Pt 2.55-2.70
Pt 0.2389 0.7389 0.4778  2 Al 2.51, 4 Li 2.55, 2 Pt 2.79

Formation energy   -0.8856 eV per atom
Symmetry   No. 44
Crystal system   orthorhombic



DFT (SCAN) results for a PBEsol-optimized structure of LiAl2Re.

a b c (Å): 3.7312 3.7312 4.7122
angles (deg): 113.32 113.32 90.00
Closest atoms and distances in Å follow each position.
Positions (direct):
Al 0.2500 0.7500 0.5000  4 Al 2.64, 4 Li 2.70, 4 Re 2.70
Al 0.7500 0.2500 0.5000  4 Al 2.64, 4 Li 2.70, 4 Re 2.70
Re 0.0000 0.0000 0.0000  4 Li 2.64, 8 Al 2.70
Li 0.5000 0.5000 0.0000  4 Re 2.64, 8 Al 2.70

Formation energy   -0.2257 eV per atom
Symmetry   No. 139
Crystal system   tetragonal



DFT (SCAN) results for a PBEsol-optimized structure of LiAlRe.

a b c (Å): 2.5703 4.0727 4.6168
angles (deg): 116.17 106.16 90.00
Closest atoms and distances in Å follow each position.
Positions (direct):
Re 0.3370 0.3370 0.6740  2 Re 2.57, 5 Li 2.59-2.76, 5 Al 2.67-2.72
Li 0.6652 0.6652 0.3303  2 Li 2.57, 5 Re 2.59-2.76, 5 Al 2.62-2.75
Al 0.9978 0.9978 0.9957  2 Al 2.57, 5 Li 2.62-2.75, 5 Re 2.67-2.72

Formation energy   0.0379 eV per atom
Symmetry   No. 44
Polymorph energy (0 for the lowest one)   0 kJ/mol of formula units
Crystal system   orthorhombic



DFT (SCAN) results for a PBEsol-optimized structure of LiAl2Re.

a b c (Å): 2.6532 4.1895 5.2078
angles (deg): 90.00 90.00 90.00
Closest atoms and distances in Å follow each position.
Positions (direct):
Al 0.5000 0.5000 0.2708  2 Re 2.58-2.63, 2 Al 2.65, 4 Li 2.74
Re 0.5000 0.5000 0.7665  6 Al 2.58-2.69, 2 Re 2.65, 4 Li 2.85
Al 0.0000 0.0000 0.9665  1 Li 2.45, 2 Al 2.65, 4 Re 2.69
Li 0.0000 0.0000 0.4961  5 Al 2.45-2.74, 2 Li 2.65

Formation energy   -0.0233 eV per atom
Symmetry   No. 25
Crystal system   orthorhombic



DFT (SCAN) results for a PBEsol-optimized structure of LiAl2Re.

a b c (Å): 2.7793 2.7793 9.0969
angles (deg): 81.21 81.21 60.00
Closest atoms and distances in Å follow each position.
Positions (direct):
Al 0.7489 0.7489 0.7532  9 Al 2.78-2.79, 3 Li 2.80
Re 0.2524 0.2524 0.2428  3 Al 2.65, 6 Re 2.78, 3 Li 2.78
Al 0.9975 0.9975 0.0076  3 Re 2.65, 9 Al 2.78-2.79
Li 0.5012 0.5012 0.4964  6 Li 2.78, 3 Re 2.78, 3 Al 2.80

Formation energy   0.0589 eV per atom
Symmetry   No. 160
Crystal system   trigonal



DFT (SCAN) results for a PBEsol-optimized structure of LiAlRe.

a b c (Å): 2.9685 2.9685 4.9714
angles (deg): 107.37 107.37 90.00
Closest atoms and distances in Å follow each position.
Positions (direct):
Al 0.0044 0.0044 0.0089  4 Li 2.55, 4 Re 2.62
Li 0.6642 0.6642 0.3284  4 Al 2.55, 4 Re 2.58
Re 0.3314 0.3314 0.6628  4 Li 2.58, 4 Al 2.62

Formation energy   0.2333 eV per atom
Symmetry   No. 107
Polymorph energy (0 for the lowest one)   57 kJ/mol of formula units
Crystal system   tetragonal



DFT (SCAN) results for a PBEsol-optimized structure of LiAl2Rh2.

a b c (Å): 3.8755 3.8755 6.0989
angles (deg): 108.53 108.53 90.00
Closest atoms and distances in Å follow each position.
Positions (direct):
Li 0.0000 0.0000 0.0000  8 Rh 3.01, 8 Al 3.34
Rh 0.6147 0.6147 0.2294  4 Al 2.43, 1 Rh 2.50
Al 0.2500 0.7500 0.5000  4 Rh 2.43
Al 0.7500 0.2500 0.5000  4 Rh 2.43
Rh 0.3853 0.3853 0.7706  4 Al 2.43, 1 Rh 2.50

Formation energy   -0.5765 eV per atom
Symmetry   No. 139
Polymorph energy (0 for the lowest one)   177 kJ/mol of formula units
Crystal system   tetragonal



DFT (SCAN) results for a PBEsol-optimized structure of LiAl2Rh2.

a b c (Å): 2.8907 7.0353 7.0353
angles (deg): 90.00 90.00 90.00
Closest atoms and distances in Å follow each position.
Positions (direct):
Rh 0.0000 0.6493 0.1493  6 Al 2.49-2.54, 2 Li 2.68
Al 0.5000 0.1467 0.6467  6 Rh 2.49-2.54
Al 0.5000 0.3533 0.1467  6 Rh 2.49-2.54
Li 0.0000 0.5000 0.5000  4 Rh 2.68, 2 Li 2.89
Al 0.5000 0.8533 0.3533  6 Rh 2.49-2.54
Rh 0.0000 0.8507 0.6493  6 Al 2.49-2.54, 2 Li 2.68
Li 0.0000 0.0000 0.0000  4 Rh 2.68, 2 Li 2.89
Al 0.5000 0.6467 0.8533  6 Rh 2.49-2.54
Rh 0.0000 0.1493 0.3507  6 Al 2.49-2.54, 2 Li 2.68
Rh 0.0000 0.3507 0.8507  6 Al 2.49-2.54, 2 Li 2.68

Formation energy   -0.9442 eV per atom
Symmetry   No. 127
Polymorph energy (0 for the lowest one)   0 kJ/mol of formula units
Crystal system   tetragonal



DFT (SCAN) results for a PBEsol-optimized structure of LiAlSbRh2.

a b c (Å): 4.2456 4.2456 4.2771
angles (deg): 90.00 90.00 90.00
Closest atoms and distances in Å follow each position.
Positions (direct):
Li 0.0000 0.0000 0.0000  4 Rh 2.12, 2 Sb 2.14
Sb 0.0000 0.0000 0.5000  2 Li 2.14
Al 0.5000 0.5000 0.5000  4 Sb 3.00, 8 Rh 3.01
Rh 0.0000 0.5000 0.0000  2 Li 2.12
Rh 0.5000 0.0000 0.0000  2 Li 2.12

Raw total energy   -113.17 eV per cell
Symmetry   No. 123
Crystal system   tetragonal



DFT (SCAN) results for a PBEsol-optimized structure of LiAlSnRh2.

a b c (Å): 4.8602 4.8602 4.9958
angles (deg): 90.00 90.00 90.00
Closest atoms and distances in Å follow each position.
Positions (direct):
Sn 0.0000 0.0000 0.0000  4 Rh 2.43, 2 Al 2.50
Rh 0.5000 0.0000 0.0000  2 Sn 2.43
Al 0.0000 0.0000 0.5000  2 Sn 2.50
Li 0.5000 0.5000 0.5000  4 Al 3.44, 8 Rh 3.48
Rh 0.0000 0.5000 0.0000  2 Sn 2.43

Formation energy   0.8224 eV per atom
Symmetry   No. 123
Crystal system   tetragonal



DFT (SCAN) results for a PBEsol-optimized structure of Li2AlRu.

a b c (Å): 2.8869 4.1282 5.1990
angles (deg): 112.87 106.12 90.00
Closest atoms and distances in Å follow each position.
Positions (direct):
Al 0.0000 0.5000 0.0000  4 Ru 2.52, 4 Li 2.72
Li 0.7524 0.7530 0.5048  4 Li 2.51-2.52, 2 Ru 2.68, 2 Al 2.72
Li 0.2476 0.2470 0.4952  4 Li 2.51-2.52, 2 Ru 2.68, 2 Al 2.72
Ru 0.5000 0.0000 0.0000  4 Al 2.52, 4 Li 2.68

Formation energy   -0.2559 eV per atom
Symmetry   No. 12
Crystal system   monoclinic



DFT (SCAN) results for a PBEsol-optimized structure of Li2AlRu.

a b c (Å): 2.5287 5.0026 5.0465
angles (deg): 119.71 90.00 90.00
Closest atoms and distances in Å follow each position.
Positions (direct):
Li 0.0000 0.0000 0.5000  4 Li 2.50-2.53
Ru 0.5000 0.0000 0.0000  2 Al 2.50, 2 Ru 2.53
Al 0.5000 0.5000 0.0000  2 Ru 2.50, 2 Al 2.53
Li 0.0000 0.5000 0.5000  4 Li 2.50-2.53

Formation energy   -0.0366 eV per atom
Symmetry   No. 65
Crystal system   orthorhombic



DFT (SCAN) results for a PBEsol-optimized structure of Li2AlRu.

a b c (Å): 2.6951 2.6951 8.8912
angles (deg): 90.00 90.00 111.17
Closest atoms and distances in Å follow each position.
Positions (direct):
Li 0.5000 0.5000 0.7230  2 Ru 2.58, 4 Li 2.70
Li 0.0000 0.0000 0.0170  4 Li 2.70, 2 Al 2.73
Ru 0.0000 0.0000 0.4888  2 Al 2.46, 2 Li 2.58, 4 Ru 2.70
Al 0.5000 0.5000 0.2711  2 Ru 2.46, 4 Al 2.70, 2 Li 2.73

Formation energy   -0.0719 eV per atom
Symmetry   No. 35
Crystal system   orthorhombic



DFT (SCAN) results for a PBEsol-optimized structure of LiAlRu3.

a b c (Å): 4.0377 4.0377 4.0377
angles (deg): 90.00 90.00 90.00
Closest atoms and distances in Å follow each position.
Positions (direct):
Li 0.0000 0.0000 0.0000  6 Ru 2.02
Ru 0.5000 0.0000 0.0000  2 Li 2.02
Ru 0.0000 0.0000 0.5000  2 Li 2.02
Al 0.5000 0.5000 0.5000  12 Ru 2.86
Ru 0.0000 0.5000 0.0000  2 Li 2.02

Formation energy   0.7904 eV per atom
Symmetry   No. 221
Crystal system   cubic



DFT (SCAN) results for a PBEsol-optimized structure of LiAlS2.

a b c (Å): 6.1621 6.4789 7.8576
angles (deg): 90.00 90.00 90.00
Closest atoms and distances in Å follow each position.
Positions (direct):
S 0.5089 0.4058 0.1379  2 Al 2.26, 2 Li 2.43-2.44
Al 0.6215 0.5736 0.3740  4 S 2.25-2.26
S 0.4887 0.4353 0.6152  2 Al 2.25-2.26, 2 Li 2.41
Al 0.1215 0.9264 0.8740  4 S 2.25-2.26
Al 0.6215 0.0736 0.1260  4 S 2.25-2.26
Li 0.6159 0.5842 0.8781  4 S 2.41-2.44
S 0.0089 0.0942 0.6379  2 Al 2.26, 2 Li 2.43-2.44
S 0.5089 0.9058 0.3621  2 Al 2.26, 2 Li 2.43-2.44
Li 0.1159 0.9158 0.3781  4 S 2.41-2.44
S 0.9887 0.0647 0.1152  2 Al 2.25-2.26, 2 Li 2.41
Li 0.6159 0.0842 0.6219  4 S 2.41-2.44
S 0.4887 0.9353 0.8848  2 Al 2.25-2.26, 2 Li 2.41
S 0.0089 0.5942 0.8621  2 Al 2.26, 2 Li 2.43-2.44
Al 0.1215 0.4264 0.6260  4 S 2.25-2.26
S 0.9887 0.5647 0.3848  2 Al 2.25-2.26, 2 Li 2.41
Li 0.1159 0.4158 0.1219  4 S 2.41-2.44

Raw total energy   -141.29 eV per cell
Symmetry   No. 33
Crystal system   orthorhombic



DFT (SCAN) results for a PBEsol-optimized structure of LiAl2Sb.

a b c (Å): 4.0695 4.3271 5.2292
angles (deg): 114.44 112.90 90.00
Closest atoms and distances in Å follow each position.
Positions (direct):
Li 0.4983 0.4983 0.9966  8 Al 2.95-3.06, 4 Sb 2.96-3.05
Al 0.0029 0.0029 0.0057  4 Al 2.95-3.07, 4 Li 2.97, 4 Sb 2.99-3.03
Al 0.7502 0.2502 0.5005  4 Al 2.95-3.07, 4 Li 2.95-3.06, 4 Sb 2.97
Sb 0.2486 0.7486 0.4973  4 Li 2.96-3.05, 8 Al 2.97-3.03

Raw total energy   -55.31 eV per cell
Symmetry   No. 44
Crystal system   orthorhombic



DFT (SCAN) results for a PBEsol-optimized structure of Li2AlSb.

a b c (Å): 2.9966 4.1963 5.8540
angles (deg): 90.00 90.00 90.00
Closest atoms and distances in Å follow each position.
Positions (direct):
Sb 0.5000 0.5000 0.0000  2 Al 2.93, 8 Li 2.98, 2 Sb 3.00
Al 0.5000 0.5000 0.5000  2 Sb 2.93, 8 Li 2.94, 2 Al 3.00
Li 0.0000 0.0000 0.2569  4 Li 2.85-3.01, 4 Al 2.94, 4 Sb 2.98
Li 0.0000 0.0000 0.7431  4 Li 2.85-3.01, 4 Al 2.94, 4 Sb 2.98

Raw total energy   -50.90 eV per cell
Symmetry   No. 47
Crystal system   orthorhombic



DFT (SCAN) results for a PBEsol-optimized structure of Li2AlSb.

a b c (Å): 3.1452 3.1452 9.3208
angles (deg): 80.29 80.29 60.00
Closest atoms and distances in Å follow each position.
Positions (direct):
Sb 0.5000 0.5000 0.5000  6 Li 2.89, 6 Sb 3.15
Al 0.0000 0.0000 0.0000  6 Li 2.95, 6 Al 3.15
Li 0.7514 0.7514 0.7457  3 Sb 2.89, 3 Al 2.95, 6 Li 3.15
Li 0.2486 0.2486 0.2543  3 Sb 2.89, 3 Al 2.95, 6 Li 3.15

Raw total energy   -50.36 eV per cell
Symmetry   No. 166
Crystal system   trigonal